The following is a DFT calculation (PBE) of an optimized crystal structure of CeMnAs3.

Cell lengths 5.589, 5.724, 12.228 Å; angles 90.00, 90.00, 90.00 degrees
Site moments in Bohr magnetons follow the coordinates.
Element x y z (fractional)
Mn 0.000 0.250 0.083  2.54
Mn 0.500 0.750 0.917  2.54
Mn 0.000 0.750 0.917  2.54
Mn 0.500 0.250 0.083  2.54
As 0.000 0.750 0.501  0.00
As 0.500 0.750 0.501  0.00
As 0.250 0.513 0.779  -0.04
As 0.750 0.487 0.221  -0.04
As 0.250 0.606 0.068  -0.11
As 0.250 0.013 0.221  -0.04
As 0.750 0.987 0.779  -0.04
As 0.750 0.394 0.932  -0.11
As 0.250 0.106 0.932  -0.11
As 0.750 0.894 0.068  -0.11
As 0.500 0.250 0.499  0.00
As 0.000 0.250 0.499  0.00
Ce 0.750 0.994 0.310  0.47
Ce 0.250 0.006 0.690  0.47
Ce 0.250 0.506 0.310  0.47
Ce 0.750 0.494 0.690  0.47

The crystal system is orthorhombic. The total energy comes out at -6.515 eV/atom. As for the energy relative to the elements: -0.705 eV per atom.

The following is a DFT calculation (PBE) of an optimized crystal structure of LiSi2W.

Cell lengths 2.690, 2.690, 8.277 Å; angles 90.00, 90.00, 101.34 degrees
Element x y z (fractional)
Si 0.500 0.500 0.246
Si 0.000 0.000 0.009
W 0.000 0.000 0.484
Li 0.500 0.500 0.761

The crystal system is orthorhombic. The total energy comes out at -6.123 eV/atom. For the energy relative to the elements, uncorrected, the calculation gives 1.222 eV per formula unit.

The following is a DFT calculation (PBE) of an optimized crystal structure of Ac2In3AgPd4.

Cell lengths 4.663, 4.663, 10.977 Å; angles 90.00, 90.00, 90.00 degrees
Element x y z (fractional)
In 0.000 0.500 0.121
In 0.500 0.000 0.879
In 0.000 0.000 0.500
Ag 0.500 0.500 0.500
Pd 0.000 0.000 0.000
Pd 0.500 0.500 0.000
Pd 0.500 0.000 0.638
Pd 0.000 0.500 0.362
Ac 0.500 0.000 0.249
Ac 0.000 0.500 0.751

The crystal system is tetragonal. The total energy comes out at -4.612 eV/atom. As for the energy relative to the elements: -0.606 eV per atom.

The following is a DFT calculation (PBE) of an optimized crystal structure of Ce3Sb2O.

Cell lengths 4.106, 7.827, 19.794 Å; angles 90.00, 90.00, 90.00 degrees
Site moments in Bohr magnetons follow the coordinates.
Element x y z (fractional)
Sb 0.750 0.375 0.427  -0.05
Sb 0.750 0.327 0.216  -0.04
Sb 0.750 0.875 0.073  -0.05
Sb 0.250 0.625 0.573  -0.05
Sb 0.250 0.673 0.784  -0.04
Sb 0.250 0.173 0.716  -0.04
Sb 0.750 0.827 0.284  -0.04
Sb 0.250 0.125 0.927  -0.05
Ce 0.750 0.316 0.035  0.95
Ce 0.750 0.894 0.652  1.06
Ce 0.750 0.394 0.848  1.06
Ce 0.750 0.971 0.821  1.08
Ce 0.250 0.684 0.965  0.95
Ce 0.250 0.606 0.152  1.06
Ce 0.250 0.184 0.535  0.95
Ce 0.750 0.471 0.679  1.08
Ce 0.250 0.106 0.348  1.06
Ce 0.750 0.816 0.465  0.95
Ce 0.250 0.529 0.321  1.08
Ce 0.250 0.029 0.179  1.08
O 0.250 0.970 0.448  -0.03
O 0.750 0.030 0.552  -0.03
O 0.250 0.470 0.052  -0.03
O 0.750 0.530 0.948  -0.03

The crystal system is orthorhombic. The total energy comes out at -6.706 eV/atom. For the energy relative to the elements, uncorrected, the calculation gives -9.229 eV per formula unit.

Values for mass density, g/cm3, ordered as above
7.1; 7.0; 9.3; 7.1